## TbNp2Tl3S6 (PBE-GGA)

Data for crystalline TbNp2Tl3S6 at its relaxed geometry.

a = 7.0277 Å, b = 12.1702 Å, c = 7.8786 Å
α = 90.00°, β = 107.28°, γ = 90.00°
Space group C2/m (No. 12)
One atom of each set of equivalent atoms:
Tb1 0.0000 0.0000 0.0000 x2
Np1 0.0000 0.3333 0.0000 x4
Tl1 0.0000 0.1671 0.5000 x4
Tl2 0.0000 0.5000 0.5000 x2
S1 0.2296 0.5000 0.1952 x4
S2 0.2328 0.1677 0.1953 x8

Values from the calculation:
E	-152.80	eV per cell
ΔE_f (raw)	-26.95	kcal/mol of atoms
total moment	16.00	μB/cell
DOS(E_F)	43.21	states/eV/cell

=====

## Tb2TmNpS6 (PBE-GGA)

Data for crystalline Tb2TmNpS6 at its relaxed geometry.

a = 6.9313 Å, b = 6.9313 Å, c = 18.6094 Å
α = 90.00°, β = 90.00°, γ = 120.00°
Space group R3 (No. 146, hexagonal axes)
One atom of each set of equivalent atoms:
Tb1 0.0000 0.0000 0.0000 x3
Tb2 0.0000 0.0000 0.4969 x3
Tm1 0.0000 0.0000 0.6975 x3
Np1 0.0000 0.0000 0.2001 x3
S1 0.0035 0.7055 0.5996 x9
S2 0.0331 0.3593 0.7653 x9

Values from the calculation:
E	-209.64	eV per cell
ΔE_f (raw)	-42.53	kcal/mol of atoms
total moment	12.00	μB/cell
DOS(E_F)	19.70	states/eV/cell